# PBE-GGA Pa2Si4Ru3, relaxed
data_Pa2Si4Ru3
_space_group_name_H-M_alt 'C m c e'
_space_group_IT_number 64
_space_group_name_Hall '-C 2ac 2'
_cell_length_a 5.7360
_cell_length_b 14.2705
_cell_length_c 7.1946
_cell_angle_alpha 90.00
_cell_angle_beta 90.00
_cell_angle_gamma 90.00
loop_
_atom_site_label
_atom_site_fract_x
_atom_site_fract_y
_atom_site_fract_z
_atom_site_occupancy
Pa1 0.0000 0.1008 0.0955 1
Si1 0.0000 0.1794 0.4869 1
Si2 0.2500 0.0663 0.7500 1
Ru1 0.0000 0.0000 0.5000 1
Ru2 0.2500 0.2386 0.7500 1
# total energy: -8.36 eV/atom
# formation energy without anion corrections: -0.74 eV per atom
# magnetization: 0.000 μB/cell